This record from the Alexandria database describes an optimized crystal structure of HfVCrO6. The functional is PBE with a Hubbard U.

## Properties
- magnetic moment (μB per formula unit) = 3.00
- VASP energy (eV/atom) = -8.4518

Lattice parameters (Å, degrees): 4.6870 4.6870 9.1013 90.00 90.00 90.00
Last column: magnetic moment on the atom in μB.
Atoms (fractional coordinates):
1 Hf 0.5000 0.5000 0.1705  0.02
2 Hf 0.0000 0.0000 0.6705  0.02
3 V 0.5000 0.5000 0.8362  0.16
4 V 0.0000 0.0000 0.3362  0.16
5 Cr 0.5000 0.5000 0.5007  2.92
6 Cr 0.0000 0.0000 0.0007  2.92
7 O 0.1938 0.8062 0.4859  -0.04
8 O 0.8062 0.1938 0.4859  -0.04
9 O 0.3062 0.3062 0.9859  -0.04
10 O 0.6938 0.6938 0.9859  -0.04
11 O 0.1858 0.8142 0.1742  -0.03
12 O 0.8142 0.1858 0.1742  -0.03
13 O 0.3142 0.3142 0.6742  -0.03
14 O 0.6858 0.6858 0.6742  -0.03
15 O 0.7926 0.2074 0.8362  -0.02
16 O 0.2074 0.7926 0.8362  -0.02
17 O 0.7074 0.7074 0.3362  -0.02
18 O 0.2926 0.2926 0.3362  -0.02